#1
Here is a geometry-optimized MgOs3W structure from the Alexandria database. Energies are from PBE.

- Space group: Pm-3m, No. 221
- N(E_F): 1.20 states/eV/atom

```
MgOs3W
1.0
4.736 0.000 0.000
0.000 4.736 0.000
0.000 0.000 4.736
Mg Os W
1 3 1
Cartesian
0.000 0.000 0.000
0.000 2.368 2.368
2.368 0.000 2.368
2.368 2.368 0.000
2.368 2.368 2.368
```

#2
Here is a geometry-optimized MgOs3W structure from the Alexandria database. Energies are from PBE.

- Space group: Pm-3m, No. 221
- N(E_F): 0.68 states/eV/atom

```
MgOs3W
1.0
4.354 0.000 0.000
0.000 4.354 0.000
0.000 0.000 4.354
Mg Os W
1 3 1
Cartesian
0.000 0.000 0.000
0.000 0.000 2.177
0.000 2.177 0.000
2.177 0.000 0.000
2.177 2.177 2.177
```

Least stable = #2

#1
Here is a geometry-optimized Mg2OsW structure from the Alexandria database. Energies are from PBE.

- Space group: Cmmm, No. 65
- N(E_F): 1.03 states/eV/atom

```
Mg2OsW
1.0
3.112 0.000 0.000
0.000 4.510 0.000
0.000 0.000 9.281
Mg Os W
4 2 2
Cartesian
0.000 0.000 2.222
0.000 0.000 7.058
1.556 2.255 2.222
1.556 2.255 7.058
0.000 2.255 0.000
1.556 0.000 0.000
0.000 2.255 4.640
1.556 0.000 4.640
```

#2
Here is a geometry-optimized Mg2OsW structure from the Alexandria database. Energies are from PBE.

- Space group: I4/mmm, No. 139
- N(E_F): 0.76 states/eV/atom

```
Mg2OsW
1.0
3.797 0.000 0.000
0.000 3.797 0.000
0.000 0.000 9.077
Mg Os W
4 2 2
Cartesian
0.000 1.899 2.269
0.000 1.899 6.808
1.899 0.000 2.269
1.899 0.000 6.808
0.000 0.000 0.000
1.899 1.899 4.538
0.000 0.000 4.538
1.899 1.899 0.000
```

#3
Here is a geometry-optimized Mg2OsW structure from the Alexandria database. Energies are from PBE.

- Space group: R-3m, No. 166
- N(E_F): 1.42 states/eV/atom

```
Mg2OsW
1.0
2.846 0.000 0.000
-1.423 2.465 0.000
0.000 0.000 28.085
Mg Os W
6 3 3
Cartesian
0.000 0.000 6.918
0.000 0.000 21.167
0.000 1.643 11.805
0.000 1.643 25.642
1.423 0.822 2.443
1.423 0.822 16.280
0.000 0.000 14.043
0.000 1.643 4.681
1.423 0.822 23.404
0.000 0.000 0.000
0.000 1.643 18.724
1.423 0.822 9.362
```

Least stable = #3

#1
Here is a geometry-optimized YMg3Os structure from the Alexandria database. Energies are from PBE.

- Space group: Pm-3m, No. 221
- N(E_F): 1.19 states/eV/atom

```
YMg3Os
1.0
5.586 0.000 0.000
0.000 5.586 0.000
0.000 0.000 5.586
Y Mg Os
1 3 1
Cartesian
0.000 0.000 0.000
0.000 0.000 2.793
0.000 2.793 0.000
2.793 0.000 0.000
2.793 2.793 2.793
```

#2
Here is a geometry-optimized YMg3Os structure from the Alexandria database. Energies are from PBE.

- Space group: Pm-3m, No. 221
- N(E_F): 0.83 states/eV/atom

```
YMg3Os
1.0
4.973 0.000 0.000
0.000 4.973 0.000
0.000 0.000 4.973
Y Mg Os
1 3 1
Cartesian
0.000 0.000 0.000
0.000 2.486 2.486
2.486 0.000 2.486
2.486 2.486 0.000
2.486 2.486 2.486
```

Least stable = #1

#1
Here is a geometry-optimized MgZnOs structure from the Alexandria database. Energies are from PBE.

- Space group: Imm2, No. 44
- N(E_F): 0.51 states/eV/atom

```
MgZnOs
1.0
2.666 0.000 0.000
0.000 4.166 0.000
0.000 0.000 8.208
Mg Zn Os
2 2 2
Cartesian
0.000 0.000 0.000
1.333 2.083 4.104
0.000 0.000 2.663
1.333 2.083 6.766
0.000 0.000 5.467
1.333 2.083 1.363
```

#2
Here is a geometry-optimized MgZnOs structure from the Alexandria database. Energies are from PBE.

- Space group: I4mm, No. 107
- N(E_F): 0.67 states/eV/atom

```
MgZnOs
1.0
3.184 0.000 0.000
0.000 3.184 0.000
0.000 0.000 9.112
Mg Zn Os
2 2 2
Cartesian
0.000 0.000 0.000
1.592 1.592 4.556
0.000 0.000 2.856
1.592 1.592 7.412
0.000 0.000 6.148
1.592 1.592 1.592
```

#3
Here is a geometry-optimized MgZnOs structure from the Alexandria database. Energies are from PBE.

- Space group: F-43m, No. 216
- N(E_F): 1.08 states/eV/atom

```
MgZnOs
1.0
5.929 0.000 0.000
0.000 5.929 0.000
0.000 0.000 5.929
Mg Zn Os
4 4 4
Cartesian
0.000 0.000 0.000
0.000 2.964 2.964
2.964 0.000 2.964
2.964 2.964 0.000
1.482 1.482 4.447
1.482 4.447 1.482
4.447 1.482 1.482
4.447 4.447 4.447
0.000 0.000 2.964
0.000 2.964 0.000
2.964 0.000 0.000
2.964 2.964 2.964
```

#4
Here is a geometry-optimized MgZnOs structure from the Alexandria database. Energies are from PBE.

- Space group: P3m1, No. 156
- N(E_F): 0.62 states/eV/atom

```
MgZnOs
1.0
4.444 0.000 0.000
-2.222 3.849 0.000
0.000 0.000 2.660
Mg Zn Os
1 1 1
Cartesian
0.000 0.000 0.000
0.000 2.566 1.851
2.222 1.283 1.131
```

Least stable = #3

#1
Here is a geometry-optimized Mg3ZrOs structure from the Alexandria database. Energies are from PBE.

- Space group: Pm-3m, No. 221
- N(E_F): 8.41 states/eV/atom

```
Mg3ZrOs
1.0
5.148 0.000 0.000
0.000 5.148 0.000
0.000 0.000 5.148
Mg Zr Os
3 1 1
Cartesian
0.000 0.000 2.574
0.000 2.574 0.000
2.574 0.000 0.000
0.000 0.000 0.000
2.574 2.574 2.574
```

#2
Here is a geometry-optimized Mg3ZrOs structure from the Alexandria database. Energies are from PBE.

- Space group: Pm-3m, No. 221
- N(E_F): 1.14 states/eV/atom

```
Mg3ZrOs
1.0
4.876 0.000 0.000
0.000 4.876 0.000
0.000 0.000 4.876
Mg Zr Os
3 1 1
Cartesian
0.000 0.000 2.438
0.000 2.438 0.000
2.438 0.000 0.000
2.438 2.438 2.438
0.000 0.000 0.000
```

Least stable = #1

#1
Here is a geometry-optimized Mg2P structure from the Alexandria database. Energies are from PBE.

- Space group: C2/m, No. 12
- N(E_F): 0.23 states/eV/atom

```
Mg2P
1.0
11.647 0.000 0.000
0.000 3.893 0.000
-3.368 0.000 5.630
Mg P
8 4
Cartesian
0.002 0.000 2.199
1.603 1.946 0.248
0.852 0.000 5.383
2.454 1.946 3.432
5.825 1.946 2.199
7.427 0.000 0.248
6.675 1.946 5.383
8.277 0.000 3.432
-0.148 1.946 3.881
2.603 0.000 1.749
5.675 0.000 3.881
8.427 1.946 1.749
```

#2
Here is a geometry-optimized Mg2P structure from the Alexandria database. Energies are from PBE.

- Space group: P6_3/mmc, No. 194
- N(E_F): 0.71 states/eV/atom

```
Mg2P
1.0
4.722 0.000 0.000
-2.361 4.089 0.000
0.000 0.000 5.752
Mg P
4 2
Cartesian
0.000 0.000 0.000
0.000 0.000 2.876
0.000 2.726 1.438
2.361 1.363 4.314
0.000 2.726 4.314
2.361 1.363 1.438
```

Least stable = #2

#1
Here is a geometry-optimized Mg2P structure from the Alexandria database. Energies are from PBE.

- Space group: Pnma, No. 62
- N(E_F): 0.37 states/eV/atom

```
Mg2P
1.0
6.967 0.000 0.000
0.000 4.132 0.000
0.000 0.000 7.916
Mg P
8 4
Cartesian
0.160 1.033 1.304
0.930 1.033 4.510
2.553 3.099 0.552
3.323 3.099 5.262
3.644 1.033 2.653
4.414 1.033 7.364
6.037 3.099 3.406
6.807 3.099 6.611
1.705 1.033 7.026
1.779 3.099 3.069
5.188 1.033 4.847
5.262 3.099 0.889
```

#2
Here is a geometry-optimized Mg2P structure from the Alexandria database. Energies are from PBE.

- Space group: Cmcm, No. 63
- N(E_F): 0.23 states/eV/atom

```
Mg2P
1.0
3.785 0.000 0.000
0.000 10.778 0.000
0.000 0.000 5.588
Mg P
8 4
Cartesian
0.000 0.000 0.000
0.000 0.000 2.794
0.000 3.196 1.397
0.000 7.582 4.191
1.892 2.193 4.191
1.892 5.389 0.000
1.892 5.389 2.794
1.892 8.586 1.397
0.000 4.030 4.191
0.000 6.749 1.397
1.892 1.359 1.397
1.892 9.419 4.191
```

#3
Here is a geometry-optimized Mg2P structure from the Alexandria database. Energies are from PBE.

- Space group: I4_1/amd, No. 141
- N(E_F): 0.37 states/eV/atom

```
Mg2P
1.0
3.222 0.000 0.000
0.000 3.222 0.000
0.000 0.000 23.658
Mg P
8 4
Cartesian
0.000 0.806 7.282
0.000 0.806 10.461
0.000 2.417 13.197
0.000 2.417 16.375
1.611 0.806 1.368
1.611 0.806 4.546
1.611 2.417 19.111
1.611 2.417 22.290
0.000 0.806 20.700
0.000 2.417 2.957
1.611 0.806 14.786
1.611 2.417 8.872
```

#4
Here is a geometry-optimized Mg2P structure from the Alexandria database. Energies are from PBE.

- Space group: Cmcm, No. 63
- N(E_F): 0.04 states/eV/atom

```
Mg2P
1.0
4.062 0.000 0.000
0.000 16.867 0.000
0.000 0.000 4.508
Mg P
8 4
Cartesian
0.000 1.162 1.127
0.000 4.479 1.127
0.000 12.387 3.381
0.000 15.705 3.381
2.031 3.954 3.381
2.031 7.272 3.381
2.031 9.595 1.127
2.031 12.913 1.127
0.000 5.637 3.381
0.000 11.230 1.127
2.031 2.796 1.127
2.031 14.070 3.381
```

Least stable = #3

#1
Here is a geometry-optimized Mg2P structure from the Alexandria database. Energies are from PBE.

- Space group: P-62m, No. 189
- N(E_F): 0.42 states/eV/atom

```
Mg2P
1.0
6.998 0.000 0.000
-3.499 6.061 0.000
0.000 0.000 4.003
Mg P
6 3
Cartesian
-0.920 1.593 0.000
-2.069 3.583 2.001
1.839 0.000 0.000
1.430 2.478 2.001
4.137 0.000 2.001
2.580 4.468 0.000
0.000 0.000 2.001
0.000 4.041 0.000
3.499 2.020 0.000
```

#2
Here is a geometry-optimized Mg2P structure from the Alexandria database. Energies are from PBE.

- Space group: I4/mmm, No. 139
- N(E_F): 0.42 states/eV/atom

```
Mg2P
1.0
3.172 0.000 0.000
0.000 3.172 0.000
0.000 0.000 11.647
Mg P
4 2
Cartesian
0.000 0.000 1.660
0.000 0.000 9.987
1.586 1.586 4.164
1.586 1.586 7.483
0.000 0.000 5.823
1.586 1.586 0.000
```

#3
Here is a geometry-optimized Mg2P structure from the Alexandria database. Energies are from PBE.

- Space group: Amm2, No. 38
- N(E_F): 0.05 states/eV/atom

```
Mg2P
1.0
3.996 0.000 0.000
0.000 5.521 0.000
0.000 0.000 11.795
Mg P
8 4
Cartesian
0.000 0.000 0.000
0.000 1.359 3.080
0.000 1.402 8.977
0.000 2.761 5.897
0.000 4.119 8.977
0.000 4.162 3.080
1.998 0.000 6.759
1.998 2.761 0.862
0.000 0.000 5.288
0.000 2.761 11.186
1.998 0.000 1.743
1.998 2.761 7.640
```

Least stable = #2